Entry i
Here is a relaxed Hg3SbTe4 crystal from Alexandria via LeMat-Bulk. Energies are from GGA-PBE.

Summary:
**Fermi-level density of states**: 0.54 states/eV/atom
**Size of the total moment**: 0.000 μB/atom
**Space-group type**: R3m, No. 160

a = 4.764 Å, b = 4.764 Å, c = 16.222 Å
α = 81.56°, β = 81.55°, γ = 60.00°
Positions (direct):
Te1 0.561 0.561 0.317
Te2 0.815 0.815 0.556
Te3 0.067 0.067 0.798
Te4 0.309 0.309 0.074
Hg1 0.244 0.244 0.267
Hg2 0.499 0.499 0.502
Hg3 0.754 0.754 0.738
Sb1 0.001 0.001 0.998

Entry ii
Here is a relaxed Hg3SbTe4 crystal from Alexandria via LeMat-Bulk. Energies are from GGA-PBE.

Summary:
**Fermi-level density of states**: 0.18 states/eV/atom
**Size of the total moment**: 0.000 μB/atom
**Space-group type**: Imm2, No. 44

a = 6.168 Å, b = 6.160 Å, c = 12.585 Å
α = 90.00°, β = 90.00°, γ = 90.00°
Positions (direct):
Te1 0.564 0.750 0.254
Te2 0.064 0.250 0.246
Te3 0.567 0.250 0.500
Te4 0.075 0.750 0.500
Te5 0.067 0.750 0.000
Te6 0.575 0.250 0.000
Te7 0.064 0.250 0.754
Te8 0.564 0.750 0.746
Sb1 0.561 0.750 0.500
Sb2 0.061 0.250 0.000
Hg1 0.063 0.250 0.500
Hg2 0.061 0.750 0.250
Hg3 0.561 0.250 0.750
Hg4 0.061 0.750 0.750
Hg5 0.563 0.750 0.000
Hg6 0.561 0.250 0.250

Most stable of them? entry ii.

Entry i
Here is a relaxed HgSb2Te2 crystal from Alexandria via LeMat-Bulk. Energies are from GGA-PBE.

Summary:
**Fermi-level density of states**: 0.73 states/eV/atom
**Size of the total moment**: 0.000 μB/atom
**Space-group type**: I4/mmm, No. 139

a = 4.402 Å, b = 4.402 Å, c = 8.700 Å
α = 75.34°, β = 75.34°, γ = 90.00°
Positions (direct):
Sb1 0.750 0.250 0.500
Sb2 0.250 0.750 0.500
Te1 0.594 0.594 0.813
Te2 0.406 0.406 0.187
Hg1 0.000 0.000 0.000

Entry ii
Here is a relaxed HgSb2Te2 crystal from Alexandria via LeMat-Bulk. Energies are from GGA-PBE.

Summary:
**Fermi-level density of states**: 0.15 states/eV/atom
**Size of the total moment**: 0.000 μB/atom
**Space-group type**: I4/mmm, No. 139

a = 5.972 Å, b = 5.972 Å, c = 6.343 Å
α = 61.92°, β = 61.92°, γ = 90.00°
Positions (direct):
Te1 0.250 0.750 0.500
Te2 0.750 0.250 0.500
Sb1 0.336 0.336 0.329
Sb2 0.664 0.664 0.671
Hg1 0.000 0.000 0.000

Entry iii
Here is a relaxed HgSb2Te2 crystal from Alexandria via LeMat-Bulk. Energies are from GGA-PBE.

Summary:
**Fermi-level density of states**: 0.43 states/eV/atom
**Size of the total moment**: 0.000 μB/atom
**Space-group type**: P4/mbm, No. 127

a = 8.649 Å, b = 8.649 Å, c = 4.184 Å
α = 90.00°, β = 90.00°, γ = 90.00°
Positions (direct):
Te1 0.353 0.147 0.500
Te2 0.147 0.647 0.500
Te3 0.647 0.853 0.500
Te4 0.853 0.353 0.500
Sb1 0.813 0.687 0.000
Sb2 0.687 0.187 0.000
Sb3 0.313 0.813 0.000
Sb4 0.187 0.313 0.000
Hg1 0.000 0.000 0.000
Hg2 0.500 0.500 0.000

Entry iv
Here is a relaxed HgSb2Te2 crystal from Alexandria via LeMat-Bulk. Energies are from GGA-PBE.

Summary:
**Fermi-level density of states**: 0.56 states/eV/atom
**Size of the total moment**: 0.000 μB/atom
**Space-group type**: C2/m, No. 12

a = 6.384 Å, b = 6.384 Å, c = 4.608 Å
α = 91.75°, β = 91.75°, γ = 74.89°
Positions (direct):
Te1 0.292 0.292 0.459
Te2 0.708 0.708 0.541
Sb1 0.755 0.245 0.500
Sb2 0.245 0.755 0.500
Hg1 0.000 0.000 0.000

Most stable of them? entry ii.

Entry i
Here is a relaxed Hg2SbTe2 crystal from Alexandria via LeMat-Bulk. Energies are from GGA-PBE.

Summary:
**Fermi-level density of states**: 0.49 states/eV/atom
**Size of the total moment**: 0.000 μB/atom
**Space-group type**: P4/mbm, No. 127

a = 8.270 Å, b = 8.270 Å, c = 4.164 Å
α = 90.00°, β = 90.00°, γ = 90.00°
Positions (direct):
Sb1 0.500 0.500 0.000
Sb2 0.000 0.000 0.000
Te1 0.796 0.296 0.500
Te2 0.296 0.204 0.500
Te3 0.704 0.796 0.500
Te4 0.204 0.704 0.500
Hg1 0.881 0.619 0.000
Hg2 0.119 0.381 0.000
Hg3 0.619 0.119 0.000
Hg4 0.381 0.881 0.000

Entry ii
Here is a relaxed Hg2SbTe2 crystal from Alexandria via LeMat-Bulk. Energies are from GGA-PBE.

Summary:
**Fermi-level density of states**: 0.25 states/eV/atom
**Size of the total moment**: 0.000 μB/atom
**Space-group type**: P4/mbm, No. 127

a = 8.726 Å, b = 8.726 Å, c = 4.308 Å
α = 90.00°, β = 90.00°, γ = 90.00°
Positions (direct):
Sb1 0.500 0.500 0.000
Sb2 0.000 0.000 0.000
Te1 0.768 0.732 0.000
Te2 0.732 0.232 0.000
Te3 0.268 0.768 0.000
Te4 0.232 0.268 0.000
Hg1 0.890 0.390 0.500
Hg2 0.390 0.110 0.500
Hg3 0.110 0.610 0.500
Hg4 0.610 0.890 0.500

Most stable of them? entry ii.

Entry i
Here is a relaxed Hg2SbTe2 crystal from Alexandria via LeMat-Bulk. Energies are from GGA-PBE.

Summary:
**Fermi-level density of states**: 0.91 states/eV/atom
**Size of the total moment**: 0.000 μB/atom
**Space-group type**: I4/mmm, No. 139

a = 4.201 Å, b = 4.201 Å, c = 9.529 Å
α = 77.26°, β = 77.26°, γ = 90.00°
Positions (direct):
Te1 0.250 0.750 0.500
Te2 0.750 0.250 0.500
Hg1 0.585 0.585 0.830
Hg2 0.415 0.415 0.170
Sb1 0.000 0.000 0.000

Entry ii
Here is a relaxed Hg2SbTe2 crystal from Alexandria via LeMat-Bulk. Energies are from GGA-PBE.

Summary:
**Fermi-level density of states**: 0.57 states/eV/atom
**Size of the total moment**: 0.000 μB/atom
**Space-group type**: I4/mmm, No. 139

a = 4.152 Å, b = 4.152 Å, c = 9.141 Å
α = 76.87°, β = 76.87°, γ = 90.00°
Positions (direct):
Hg1 0.250 0.750 0.500
Hg2 0.750 0.250 0.500
Te1 0.591 0.591 0.819
Te2 0.409 0.409 0.181
Sb1 0.000 0.000 0.000

Most stable of them? entry ii.

Entry i
Here is a relaxed TlHgSb2Te crystal from Alexandria via LeMat-Bulk. Energies are from GGA-PBE.

Summary:
**Fermi-level density of states**: 1.10 states/eV/atom
**Size of the total moment**: 0.131 μB/atom
**Space-group type**: P4/mmm, No. 123

a = 5.794 Å, b = 5.794 Å, c = 5.864 Å
α = 90.00°, β = 90.00°, γ = 90.00°
Positions (direct):
Te1 0.000 0.000 0.500
Tl1 0.000 0.000 0.000
Sb1 0.500 0.000 0.000
Sb2 0.000 0.500 0.000
Hg1 0.500 0.500 0.500

Entry ii
Here is a relaxed TlHgSb2Te crystal from Alexandria via LeMat-Bulk. Energies are from GGA-PBE.

Summary:
**Fermi-level density of states**: 0.90 states/eV/atom
**Size of the total moment**: 0.086 μB/atom
**Space-group type**: P4/mmm, No. 123

a = 5.578 Å, b = 5.578 Å, c = 5.901 Å
α = 90.00°, β = 90.00°, γ = 90.00°
Positions (direct):
Sb1 0.500 0.000 0.000
Sb2 0.000 0.500 0.000
Tl1 0.500 0.500 0.500
Hg1 0.000 0.000 0.000
Te1 0.000 0.000 0.500

Most stable of them? entry ii.

Entry i
Here is a relaxed VHgSb2Te crystal from Alexandria via LeMat-Bulk. Energies are from GGA-PBE.

Summary:
**Fermi-level density of states**: 0.60 states/eV/atom
**Size of the total moment**: 0.000 μB/atom
**Space-group type**: P4/mmm, No. 123

a = 5.190 Å, b = 5.190 Å, c = 5.196 Å
α = 90.00°, β = 90.00°, γ = 90.00°
Positions (direct):
Sb1 0.500 0.000 0.000
Sb2 0.000 0.500 0.000
Hg1 0.500 0.500 0.500
V1 0.000 0.000 0.000
Te1 0.000 0.000 0.500

Entry ii
Here is a relaxed VHgSb2Te crystal from Alexandria via LeMat-Bulk. Energies are from GGA-PBE.

Summary:
**Fermi-level density of states**: 1.63 states/eV/atom
**Size of the total moment**: 0.651 μB/atom
**Space-group type**: P4/mmm, No. 123

a = 5.459 Å, b = 5.459 Å, c = 5.678 Å
α = 90.00°, β = 90.00°, γ = 90.00°
Positions (direct):
Sb1 0.500 0.000 0.000
Sb2 0.000 0.500 0.000
Hg1 0.000 0.000 0.000
V1 0.500 0.500 0.500
Te1 0.000 0.000 0.500

Most stable of them? entry i.

Entry i
Here is a relaxed YHgSb2Te crystal from Alexandria via LeMat-Bulk. Energies are from GGA-PBE.

Summary:
**Fermi-level density of states**: 1.19 states/eV/atom
**Size of the total moment**: 0.000 μB/atom
**Space-group type**: P4/mmm, No. 123

a = 5.880 Å, b = 5.880 Å, c = 5.791 Å
α = 90.00°, β = 90.00°, γ = 90.00°
Positions (direct):
Sb1 0.500 0.000 0.000
Sb2 0.000 0.500 0.000
Y1 0.000 0.000 0.000
Te1 0.000 0.000 0.500
Hg1 0.500 0.500 0.500

Entry ii
Here is a relaxed YHgSb2Te crystal from Alexandria via LeMat-Bulk. Energies are from GGA-PBE.

Summary:
**Fermi-level density of states**: 0.68 states/eV/atom
**Size of the total moment**: 0.000 μB/atom
**Space-group type**: P4/mmm, No. 123

a = 5.476 Å, b = 5.476 Å, c = 5.592 Å
α = 90.00°, β = 90.00°, γ = 90.00°
Positions (direct):
Hg1 0.000 0.000 0.000
Te1 0.000 0.000 0.500
Sb1 0.000 0.500 0.000
Sb2 0.500 0.000 0.000
Y1 0.500 0.500 0.500

Most stable of them? entry i.

Entry i
Here is a relaxed ZrHgSb2Te crystal from Alexandria via LeMat-Bulk. Energies are from GGA-PBE.

Summary:
**Fermi-level density of states**: 1.15 states/eV/atom
**Size of the total moment**: 0.000 μB/atom
**Space-group type**: P4/mmm, No. 123

a = 5.424 Å, b = 5.424 Å, c = 5.487 Å
α = 90.00°, β = 90.00°, γ = 90.00°
Positions (direct):
Te1 0.000 0.000 0.500
Zr1 0.500 0.500 0.500
Sb1 0.500 0.000 0.000
Sb2 0.000 0.500 0.000
Hg1 0.000 0.000 0.000

Entry ii
Here is a relaxed ZrHgSb2Te crystal from Alexandria via LeMat-Bulk. Energies are from GGA-PBE.

Summary:
**Fermi-level density of states**: 1.00 states/eV/atom
**Size of the total moment**: 0.000 μB/atom
**Space-group type**: P4/mmm, No. 123

a = 5.615 Å, b = 5.615 Å, c = 5.560 Å
α = 90.00°, β = 90.00°, γ = 90.00°
Positions (direct):
Hg1 0.500 0.500 0.500
Sb1 0.000 0.500 0.000
Sb2 0.500 0.000 0.000
Te1 0.000 0.000 0.500
Zr1 0.000 0.000 0.000

Most stable of them? entry ii.